(1)
A plane-wave DFT calculation with PBE was carried out for a relaxed NiIBrCl2 crystal.

It has space group P4/mmm (No. 123), with a = 5.5010 Å, b = 5.5010 Å, c = 5.8548 Å, α = 90.00°, β = 90.00° and γ = 90.00°. The asymmetric unit holds Ni at (0.0000, 0.0000, 0.0000), I at (0.5000, 0.5000, 0.5000), Br at (0.5000, 0.5000, 0.0000) and Cl at (0.0000, 0.5000, 0.5000).

For the density of states at the Fermi level, the calculation gives 4.60 states/eV/f.u. The calculated density is 3.153 g/cm3. The value obtained for the magnetization is 1.0 μB per formula unit.

(2)
A plane-wave DFT calculation with PBE was carried out for a relaxed PIBrCl2 crystal.

It has space group P4/mmm (No. 123), with a = 5.0570 Å, b = 5.0570 Å, c = 5.4444 Å, α = 90.00°, β = 90.00° and γ = 90.00°. The asymmetric unit holds P at (0.0000, 0.0000, 0.0000), I at (0.5000, 0.5000, 0.0000), Br at (0.0000, 0.0000, 0.5000) and Cl at (0.0000, 0.5000, 0.5000).

For the density of states at the Fermi level, the calculation gives 3.94 states/eV/f.u. As for the energy above the most stable polymorph in this dataset: 0.0711 eV per atom. The calculated density is 3.682 g/cm3. The value obtained for the magnetization is 0.0 μB per formula unit.

(3)
A plane-wave DFT calculation with PBE was carried out for a relaxed PIBrCl2 crystal.

It has space group P4/mmm (No. 123), with a = 5.2582 Å, b = 5.2582 Å, c = 5.6419 Å, α = 90.00°, β = 90.00° and γ = 90.00°. The asymmetric unit holds P at (0.0000, 0.0000, 0.0000), I at (0.0000, 0.0000, 0.5000), Br at (0.5000, 0.5000, 0.0000) and Cl at (0.0000, 0.5000, 0.5000).

For the density of states at the Fermi level, the calculation gives 5.15 states/eV/f.u. As for the energy above the most stable polymorph in this dataset: 0.0000 eV per atom. The calculated density is 3.286 g/cm3. The value obtained for the magnetization is 0.9 μB per formula unit.

(4)
A plane-wave DFT calculation with PBE was carried out for a relaxed PuIBrCl crystal.

It has space group Imm2 (No. 44), with a = 4.3736 Å, b = 5.4049 Å, c = 14.2337 Å, α = 90.00°, β = 90.00° and γ = 90.00°. The asymmetric unit holds Pu at (0.0000, 0.0000, 0.0000), I at (0.0000, 0.5000, 0.6545), Br at (0.0000, 0.5000, 0.3685) and Cl at (0.0000, 0.5000, 0.9970).

For the density of states at the Fermi level, the calculation gives 12.36 states/eV/f.u. The calculated density is 4.800 g/cm3. The value obtained for the magnetization is 5.0 μB per formula unit.

(5)
A plane-wave DFT calculation with PBE was carried out for a relaxed Rb8I3Br3Cl crystal.

It has space group R-3m (No. 166, hexagonal axes), with a = 10.1717 Å, b = 10.1717 Å, c = 25.2235 Å, α = 90.00°, β = 90.00° and γ = 120.00°. The asymmetric unit holds Rb at (0.0000, 0.0000, 0.2444), Rb at (0.0066, 0.5033, 0.2430), I at (0.0000, 0.5000, 0.0000), Br at (0.0000, 0.5000, 0.5000) and Cl at (0.0000, 0.0000, 0.5000).

For the density of states at the Fermi level, the calculation gives 3.26 states/eV/f.u. The calculated density is 2.952 g/cm3. The value obtained for the magnetization is 0.7 μB per formula unit.

(6)
A plane-wave DFT calculation with PBE was carried out for a relaxed Rb8I3BrCl4 crystal.

It has space group R-3m (No. 166, hexagonal axes), with a = 9.9089 Å, b = 9.9089 Å, c = 24.5823 Å, α = 90.00°, β = 90.00° and γ = 120.00°. The asymmetric unit holds Rb at (0.0000, 0.0000, 0.2404), Rb at (0.0076, 0.5038, 0.7571), I at (0.0000, 0.5000, 0.0000), Br at (0.0000, 0.0000, 0.0000), Cl at (0.0000, 0.0000, 0.5000) and Cl at (0.0000, 0.5000, 0.5000).

For the density of states at the Fermi level, the calculation gives 0.00 states/eV/f.u. The calculated density is 3.066 g/cm3. The value obtained for the magnetization is 0.0 μB per formula unit.

(7)
A plane-wave DFT calculation with PBE was carried out for a relaxed Rb8I3BrCl3 crystal.

It has space group R-3m (No. 166, hexagonal axes), with a = 9.9896 Å, b = 9.9896 Å, c = 24.8531 Å, α = 90.00°, β = 90.00° and γ = 120.00°. The asymmetric unit holds Rb at (0.0000, 0.0000, 0.2408), Rb at (0.0088, 0.5044, 0.7573), I at (0.0000, 0.5000, 0.0000), Br at (0.0000, 0.0000, 0.5000) and Cl at (0.0000, 0.5000, 0.5000).

For the density of states at the Fermi level, the calculation gives 2.89 states/eV/f.u. The calculated density is 2.901 g/cm3. The value obtained for the magnetization is 0.8 μB per formula unit.

(8)
A plane-wave DFT calculation with PBE was carried out for a relaxed Rb2I6BrCl crystal.

It has space group I4/mmm (No. 139), with a = 8.6765 Å, b = 8.6765 Å, c = 12.4589 Å, α = 90.00°, β = 90.00° and γ = 90.00°. The asymmetric unit holds Rb at (0.0000, 0.5000, 0.2500), I at (0.0000, 0.0000, 0.2152), I at (0.2299, 0.2299, 0.5000), Br at (0.0000, 0.0000, 0.5000) and Cl at (0.0000, 0.0000, 0.0000).

For the density of states at the Fermi level, the calculation gives 0.00 states/eV/f.u. The calculated density is 3.710 g/cm3. The value obtained for the magnetization is 0.0 μB per formula unit.

(9)
A plane-wave DFT calculation with PBE was carried out for a relaxed RbIBr2Cl crystal.

It has space group P4/mmm (No. 123), with a = 5.9297 Å, b = 5.9297 Å, c = 5.6615 Å, α = 90.00°, β = 90.00° and γ = 90.00°. The asymmetric unit holds Rb at (0.0000, 0.0000, 0.0000), I at (0.5000, 0.5000, 0.5000), Br at (0.0000, 0.5000, 0.5000) and Cl at (0.5000, 0.5000, 0.0000).

For the density of states at the Fermi level, the calculation gives 2.53 states/eV/f.u. The calculated density is 3.400 g/cm3. The value obtained for the magnetization is 0.0 μB per formula unit.

(10)
A plane-wave DFT calculation with PBE was carried out for a relaxed Rb4IBr2Cl crystal.

It has space group Imma (No. 74), with a = 9.9352 Å, b = 10.0502 Å, c = 14.1368 Å, α = 90.00°, β = 90.00° and γ = 90.00°. The asymmetric unit holds Rb at (0.0000, 0.0128, 0.2456), Rb at (0.2438, 0.2500, 0.0058), I at (0.2500, 0.2500, 0.7500), Br at (0.0000, 0.0000, 0.5000), Br at (0.2500, 0.2500, 0.2500) and Cl at (0.0000, 0.0000, 0.0000).

For the density of states at the Fermi level, the calculation gives 0.00 states/eV/f.u. The calculated density is 3.125 g/cm3. The value obtained for the magnetization is 0.0 μB per formula unit.

(11)
A plane-wave DFT calculation with PBE was carried out for a relaxed Rb8I4Br3Cl crystal.

It has space group R-3m (No. 166, hexagonal axes), with a = 10.1505 Å, b = 10.1505 Å, c = 25.2018 Å, α = 90.00°, β = 90.00° and γ = 120.00°. The asymmetric unit holds Rb at (0.0000, 0.0000, 0.2446), Rb at (0.0057, 0.5029, 0.2432), I at (0.0000, 0.0000, 0.0000), I at (0.0000, 0.5000, 0.0000), Br at (0.0000, 0.5000, 0.5000) and Cl at (0.0000, 0.0000, 0.5000).

For the density of states at the Fermi level, the calculation gives 0.00 states/eV/f.u. The calculated density is 3.249 g/cm3. The value obtained for the magnetization is 0.0 μB per formula unit.

(12)
A plane-wave DFT calculation with PBE was carried out for a relaxed Rb6I2Br3Cl crystal.

It has space group C2/m (No. 12), with a = 22.0339 Å, b = 4.9790 Å, c = 10.2082 Å, α = 90.00°, β = 103.56° and γ = 90.00°. The asymmetric unit holds Rb at (0.0029, 0.0000, 0.2614), Rb at (0.1612, 0.5000, 0.0948), Rb at (0.1625, 0.5000, 0.5689), I at (0.1671, 0.0000, 0.8325), Br at (0.0000, 0.5000, 0.0000), Br at (0.1665, 0.0000, 0.3365) and Cl at (0.0000, 0.5000, 0.5000).

For the density of states at the Fermi level, the calculation gives 0.00 states/eV/f.u. The calculated density is 3.178 g/cm3. The value obtained for the magnetization is 0.0 μB per formula unit.

(13)
A plane-wave DFT calculation with PBE was carried out for a relaxed Rb8IBr4Cl3 crystal.

It has space group R-3m (No. 166, hexagonal axes), with a = 9.8792 Å, b = 9.8792 Å, c = 23.9856 Å, α = 90.00°, β = 90.00° and γ = 120.00°. The asymmetric unit holds Rb at (0.0000, 0.0000, 0.2467), Rb at (0.0143, 0.5071, 0.7506), I at (0.0000, 0.0000, 0.5000), Br at (0.0000, 0.0000, 0.0000), Br at (0.0000, 0.5000, 0.0000) and Cl at (0.0000, 0.5000, 0.5000).

For the density of states at the Fermi level, the calculation gives 0.00 states/eV/f.u. The calculated density is 3.038 g/cm3. The value obtained for the magnetization is 0.2 μB per formula unit.

(14)
A plane-wave DFT calculation with PBE was carried out for a relaxed RbI2BrCl crystal.

It has space group P4/mmm (No. 123), with a = 6.0472 Å, b = 6.0472 Å, c = 5.4499 Å, α = 90.00°, β = 90.00° and γ = 90.00°. The asymmetric unit holds Rb at (0.0000, 0.0000, 0.0000), I at (0.0000, 0.5000, 0.5000), Br at (0.5000, 0.5000, 0.5000) and Cl at (0.5000, 0.5000, 0.0000).

For the density of states at the Fermi level, the calculation gives 2.48 states/eV/f.u. The calculated density is 3.788 g/cm3. The value obtained for the magnetization is 0.0 μB per formula unit.

(15)
A plane-wave DFT calculation with PBE was carried out for a relaxed Rb6I3BrCl2 crystal.

It has space group C2/m (No. 12), with a = 8.7085 Å, b = 15.0847 Å, c = 8.8178 Å, α = 90.00°, β = 109.23° and γ = 90.00°. The asymmetric unit holds Rb at (0.2346, 0.0000, 0.2257), Rb at (0.2459, 0.3297, 0.2265), I at (0.0000, 0.0000, 0.5000), I at (0.0000, 0.3353, 0.5000), Br at (0.0000, 0.5000, 0.0000) and Cl at (0.0000, 0.1668, 0.0000).

For the density of states at the Fermi level, the calculation gives 0.00 states/eV/f.u. The calculated density is 3.171 g/cm3. The value obtained for the magnetization is 0.0 μB per formula unit.

(16)
A plane-wave DFT calculation with PBE was carried out for a relaxed Rb6IBr2Cl3 crystal.

It has space group C2/m (No. 12), with a = 21.4333 Å, b = 4.8638 Å, c = 9.8993 Å, α = 90.00°, β = 103.49° and γ = 90.00°. The asymmetric unit holds Rb at (0.0023, 0.0000, 0.2293), Rb at (0.1654, 0.5000, 0.0883), Rb at (0.1737, 0.5000, 0.5801), I at (0.0000, 0.5000, 0.5000), Br at (0.1672, 0.0000, 0.8345), Cl at (0.0000, 0.5000, 0.0000) and Cl at (0.1662, 0.0000, 0.3304).

For the density of states at the Fermi level, the calculation gives 0.00 states/eV/f.u. The calculated density is 2.998 g/cm3. The value obtained for the magnetization is 0.0 μB per formula unit.

(17)
A plane-wave DFT calculation with PBE was carried out for a relaxed Rb6I2BrCl2 crystal.

It has space group C2/m (No. 12), with a = 8.6577 Å, b = 15.0613 Å, c = 8.7786 Å, α = 90.00°, β = 108.71° and γ = 90.00°. The asymmetric unit holds Rb at (0.2287, 0.0000, 0.2301), Rb at (0.2461, 0.3304, 0.2257), I at (0.0000, 0.3355, 0.5000), Br at (0.0000, 0.5000, 0.0000) and Cl at (0.0000, 0.1669, 0.0000).

For the density of states at the Fermi level, the calculation gives 2.84 states/eV/f.u. The calculated density is 2.810 g/cm3. The value obtained for the magnetization is 0.8 μB per formula unit.

(18)
A plane-wave DFT calculation with PBE was carried out for a relaxed RuIBrCl2 crystal.

It has space group P4/mmm (No. 123), with a = 4.9956 Å, b = 4.9956 Å, c = 5.7192 Å, α = 90.00°, β = 90.00° and γ = 90.00°. The asymmetric unit holds Ru at (0.0000, 0.0000, 0.0000), I at (0.5000, 0.5000, 0.0000), Br at (0.0000, 0.0000, 0.5000) and Cl at (0.0000, 0.5000, 0.5000).

For the density of states at the Fermi level, the calculation gives 3.37 states/eV/f.u. The calculated density is 4.407 g/cm3. The value obtained for the magnetization is 3.5 μB per formula unit.

(19)
A plane-wave DFT calculation with PBE was carried out for a relaxed Sb2IBrCl crystal.

It has space group P4/mmm (No. 123), with a = 5.4996 Å, b = 5.4996 Å, c = 5.7255 Å, α = 90.00°, β = 90.00° and γ = 90.00°. The asymmetric unit holds Sb at (0.0000, 0.5000, 0.0000), I at (0.0000, 0.0000, 0.5000), Br at (0.5000, 0.5000, 0.5000) and Cl at (0.0000, 0.0000, 0.0000).

For the density of states at the Fermi level, the calculation gives 5.72 states/eV/f.u. As for the energy above the most stable polymorph in this dataset: 0.0000 eV per atom. The calculated density is 4.658 g/cm3. The value obtained for the magnetization is 0.9 μB per formula unit.

(20)
A plane-wave DFT calculation with PBE was carried out for a relaxed Sb2IBrCl crystal.

It has space group P4/mmm (No. 123), with a = 5.7132 Å, b = 5.7132 Å, c = 5.7694 Å, α = 90.00°, β = 90.00° and γ = 90.00°. The asymmetric unit holds Sb at (0.0000, 0.5000, 0.0000), I at (0.0000, 0.0000, 0.5000), Br at (0.0000, 0.0000, 0.0000) and Cl at (0.5000, 0.5000, 0.5000).

For the density of states at the Fermi level, the calculation gives 4.25 states/eV/f.u. As for the energy above the most stable polymorph in this dataset: 0.0680 eV per atom. The calculated density is 4.284 g/cm3. The value obtained for the magnetization is 1.6 μB per formula unit.

Uncorrected energy (computed, eV/atom): -1.817, -1.755, -1.826, -6.345, -2.810, -3.080, -2.881, -1.955, -2.244, -3.048, -2.942, -3.001, -3.124, -2.045, -2.995, -3.149, -2.821, -2.346, -1.983, -1.915